Below is an optimized crystal structure of CaCuHPd2, with properties calculated at the PBE-GGA level.

POSCAR file:
```
CaCuHPd2
1.0
4.052 0.000 0.000
0.000 4.052 0.000
0.000 0.000 4.337
Ca Cu H Pd
1 1 1 2
Cartesian
0.000 0.000 0.000 Ca
2.026 2.026 0.000 Cu
0.000 0.000 2.168 H
0.000 2.026 2.168 Pd
2.026 0.000 2.168 Pd
```

Output
The value obtained for the excess energy over the best structure of this formula in the dataset is 0 meV/atom. As for the density of states at the Fermi level: 1.17 states/eV/f.u. Its total energy is -4.29 eV/atom. The space group is P4/mmm (123).

Below is an optimized crystal structure of CaCuHPt2, with properties calculated at the PBE-GGA level.

POSCAR file:
```
CaCuHPt2
1.0
4.140 0.000 0.000
0.000 4.140 0.000
0.000 0.000 4.085
Ca Cu H Pt
1 1 1 2
Cartesian
0.000 0.000 0.000 Ca
2.070 2.070 0.000 Cu
2.070 2.070 2.043 H
0.000 2.070 2.043 Pt
2.070 0.000 2.043 Pt
```

Output
As for the density of states at the Fermi level: 1.29 states/eV/f.u. Its total energy is -4.67 eV/atom. The space group is P4/mmm (123).

Below is an optimized crystal structure of CaCu2H8Pt, with properties calculated at the PBE-GGA level.

POSCAR file:
```
CaCu2H8Pt
1.0
4.390 0.000 0.000
0.226 4.799 0.000
0.357 1.578 5.491
Ca Cu H Pt
1 2 8 1
Cartesian
0.000 0.000 0.000 Ca
2.524 3.746 4.331 Cu
2.449 2.631 1.160 Cu
0.857 4.004 4.127 H
1.153 1.796 3.015 H
1.532 3.931 1.878 H
2.183 1.175 0.314 H
2.790 5.202 5.177 H
3.441 2.446 3.613 H
3.820 4.581 2.476 H
4.116 2.373 1.364 H
0.292 3.188 2.745 Pt
```

Output
Its total energy is -3.75 eV/atom. The space group is P-1 (2).

Below is an optimized crystal structure of Ca2CuHPt, with properties calculated at the PBE-GGA level.

POSCAR file:
```
Ca2CuHPt
1.0
4.929 0.000 0.000
0.000 4.929 0.000
0.000 0.000 3.603
Ca Cu H Pt
2 1 1 1
Cartesian
0.000 2.465 0.000 Ca
2.465 0.000 0.000 Ca
0.000 0.000 1.801 Cu
0.000 0.000 0.000 H
2.465 2.465 1.801 Pt
```

Output
The value obtained for the excess energy over the best structure of this formula in the dataset is 0 meV/atom. As for the density of states at the Fermi level: 0.92 states/eV/f.u. Its total energy is -3.99 eV/atom. The space group is P4/mmm (123).

Below is an optimized crystal structure of CaCuH6Pt2, with properties calculated at the PBE-GGA level.

POSCAR file:
```
CaCuH6Pt2
1.0
2.295 1.325 5.220
-2.295 1.325 5.220
0.000 -2.650 5.220
Ca Cu H Pt
1 1 6 2
Cartesian
0.000 0.000 0.000 Ca
0.000 0.000 7.830 Cu
-1.068 -0.617 6.329 H
0.000 -1.233 9.331 H
-1.068 0.617 9.331 H
1.068 -0.617 6.329 H
0.000 1.233 6.329 H
1.068 0.617 9.331 H
0.000 0.000 3.274 Pt
0.000 0.000 12.385 Pt
```

Output
As for the density of states at the Fermi level: 1.67 states/eV/f.u. Its total energy is -4.08 eV/atom. The space group is R-3m (166).

Below is an optimized crystal structure of Ca2CuHPt, with properties calculated at the PBE-GGA level.

POSCAR file:
```
Ca2CuHPt
1.0
5.087 0.000 0.000
0.000 5.087 0.000
0.000 0.000 3.560
Ca Cu H Pt
2 1 1 1
Cartesian
0.000 2.544 0.000 Ca
2.544 0.000 0.000 Ca
0.000 0.000 1.780 Cu
2.544 2.544 0.000 H
2.544 2.544 1.780 Pt
```

Output
The value obtained for the excess energy over the best structure of this formula in the dataset is 31 meV/atom. As for the density of states at the Fermi level: 2.35 states/eV/f.u. Its total energy is -3.96 eV/atom. The space group is P4/mmm (123).

Below is an optimized crystal structure of CaCuH8Rh4, with properties calculated at the PBE-GGA level.

POSCAR file:
```
CaCuH8Rh4
1.0
2.858 1.650 4.447
-2.858 1.650 4.447
0.000 -3.300 4.447
Ca Cu H Rh
1 1 8 4
Cartesian
0.000 0.000 0.000 Ca
0.000 0.000 5.227 Cu
-1.550 -0.895 6.559 H
0.000 0.000 2.166 H
0.000 -1.227 3.835 H
-1.063 0.614 3.835 H
1.063 0.614 3.835 H
0.000 0.000 8.288 H
1.550 -0.895 6.559 H
0.000 1.789 6.559 H
0.000 -1.640 7.367 Rh
-1.420 0.820 7.367 Rh
0.000 0.000 10.054 Rh
1.420 0.820 7.367 Rh
```

Output
As for the density of states at the Fermi level: 3.45 states/eV/f.u. Its total energy is -4.60 eV/atom. The space group is R3m (160).

Below is an optimized crystal structure of CaCuHRh2, with properties calculated at the PBE-GGA level.

POSCAR file:
```
CaCuHRh2
1.0
4.068 0.000 0.000
0.000 4.068 0.000
0.000 0.000 4.045
Ca Cu H Rh
1 1 1 2
Cartesian
0.000 0.000 0.000 Ca
2.034 2.034 0.000 Cu
2.034 2.034 2.022 H
0.000 2.034 2.022 Rh
2.034 0.000 2.022 Rh
```

Output
As for the density of states at the Fermi level: 4.80 states/eV/f.u. Its total energy is -4.95 eV/atom. The space group is P4/mmm (123).

Below is an optimized crystal structure of Ca2CuH6Ru, with properties calculated at the PBE-GGA level.

POSCAR file:
```
Ca2CuH6Ru
1.0
5.021 0.000 0.000
-2.511 4.348 0.000
0.000 0.000 5.027
Ca Cu H Ru
2 1 6 1
Cartesian
0.000 2.899 1.408 Ca
2.511 1.449 3.618 Ca
0.000 0.000 0.000 Cu
0.000 1.385 3.595 H
-1.311 3.656 3.595 H
1.200 0.693 1.432 H
1.311 3.656 3.595 H
3.821 0.693 1.432 H
2.511 2.963 1.432 H
0.000 0.000 2.513 Ru
```

Output
As for the density of states at the Fermi level: 2.09 states/eV/f.u. Its total energy is -4.13 eV/atom. The space group is P-3m1 (164).

Below is an optimized crystal structure of CaCuHRu2, with properties calculated at the PBE-GGA level.

POSCAR file:
```
CaCuHRu2
1.0
4.856 0.000 0.000
0.000 4.856 0.000
0.000 0.000 3.376
Ca Cu H Ru
1 1 1 2
Cartesian
0.000 0.000 0.000 Ca
2.428 2.428 1.688 Cu
0.000 0.000 1.688 H
0.000 2.428 0.000 Ru
2.428 0.000 0.000 Ru
```

Output
As for the density of states at the Fermi level: 7.86 states/eV/f.u. Its total energy is -3.85 eV/atom. The space group is P4/mmm (123).

Below is an optimized crystal structure of Ca2CuSbH, with properties calculated at the PBE-GGA level.

POSCAR file:
```
Ca2CuSbH
1.0
4.927 0.000 0.000
0.000 4.927 0.000
0.000 0.000 4.124
Ca Cu Sb H
2 1 1 1
Cartesian
0.000 2.464 0.000 Ca
2.464 0.000 0.000 Ca
0.000 0.000 2.062 Cu
2.464 2.464 2.062 Sb
0.000 0.000 0.000 H
```

Output
As for the density of states at the Fermi level: 1.90 states/eV/f.u. Its total energy is -3.61 eV/atom. The space group is P4/mmm (123).

Below is an optimized crystal structure of Ca2CuSnH, with properties calculated at the PBE-GGA level.

POSCAR file:
```
Ca2CuSnH
1.0
5.188 0.000 0.000
0.000 5.188 0.000
0.000 0.000 3.767
Ca Cu Sn H
2 1 1 1
Cartesian
0.000 2.594 0.000 Ca
2.594 0.000 0.000 Ca
0.000 0.000 1.883 Cu
2.594 2.594 1.883 Sn
0.000 0.000 0.000 H
```

Output
As for the density of states at the Fermi level: 2.07 states/eV/f.u. Its total energy is -3.47 eV/atom. The space group is P4/mmm (123).